DFT (PBE) results for crystalline LaSmNi4 at its relaxed geometry.

Calculated values
E: -0.4256 Ry/atom
Energy of formation: -0.33 eV/atom
DOS at the Fermi energy: 7.09 states/eV/cell
Excess energy over the best structure of this formula in the dataset: 8 meV/atom

```
LaSmNi4
1.0
-3.293 0.453 -2.042
1.263 -2.812 -2.662
-3.083 -5.035 3.856
Ni La Sm
4 1 1
direct
0.498 0.997 0.834
0.499 0.497 0.329
0.499 0.997 0.162
0.498 0.497 0.668
0.999 0.997 0.498
0.999 0.497 0.998
```